## Zr3HgC (PBE-GGA)

Data for a relaxed Zr3HgC crystal.

a = 7.9235 Å, b = 7.9235 Å, c = 7.9235 Å
α = 43.27°, β = 43.27°, γ = 43.27°
Atoms (fractional coordinates):
Zr  0.0957  0.7829  0.4478
Zr  0.2171  0.5522  0.9043
Zr  0.4478  0.0957  0.7829
Zr  0.5522  0.9043  0.2171
Zr  0.7829  0.4478  0.0957
Zr  0.9043  0.2171  0.5522
Hg  0.3361  0.3361  0.3361
Hg  0.6639  0.6639  0.6639
C  0.1628  0.1628  0.1628
C  0.8372  0.8372  0.8372

## Properties
* relative energy among the computed polymorphs: 218 meV/atom
* SG: R-3 (148)
* formation enthalpy at 0 K: -0.2863 eV per atom

=====

## BaYSi (PBE-GGA)

Data for a relaxed BaYSi crystal.

a = 5.0751 Å, b = 5.0751 Å, c = 7.6570 Å
α = 90.00°, β = 90.00°, γ = 90.00°
Atoms (fractional coordinates):
Ba  0.2500  0.2500  0.1337
Ba  0.7500  0.7500  0.8663
Y  0.2500  0.7500  0.5000
Y  0.7500  0.2500  0.5000
Si  0.2500  0.2500  0.6918
Si  0.7500  0.7500  0.3083

## Properties
* formation energy without anion corrections: -0.431 eV/atom
* SG: P4/nmm (129)

=====

## MnAg2Se (PBE-GGA)

Data for a relaxed MnAg2Se crystal.

a = 6.5067 Å, b = 6.5067 Å, c = 3.6969 Å
α = 93.97°, β = 93.97°, γ = 31.34°
Atoms (fractional coordinates):
Mn  0.0000  0.0000  0.0000
Ag  0.2999  0.2999  0.7712
Ag  0.7001  0.7001  0.2288
Se  0.5000  0.5000  0.5000

## Properties
* formation energy without anion corrections: 0.116 eV/atom
* SG: C2/m (12)

=====

## CeUPt (PBE-GGA)

Data for a relaxed CeUPt crystal.

a = 4.9335 Å, b = 3.5597 Å, c = 7.7000 Å
α = 90.00°, β = 90.00°, γ = 90.00°
Atoms (fractional coordinates):
Ce  0.2500  0.0000  0.1875
Ce  0.7500  0.0000  0.8125
U  0.0000  0.5000  0.5000
U  0.5000  0.5000  0.5000
Pt  0.2500  0.5000  0.8724
Pt  0.7500  0.5000  0.1276

## Properties
* SG: Pmma (51)
* formation enthalpy at 0 K: -0.2534 eV per atom

=====

## Ni2PbW (PBE-GGA)

Data for a relaxed Ni2PbW crystal.

a = 5.2983 Å, b = 5.2983 Å, c = 5.2983 Å
α = 147.60°, β = 129.19°, γ = 61.56°
Atoms (fractional coordinates):
Ni  0.0000  0.0000  0.0000
Ni  0.7734  0.2734  0.5000
Pb  0.2483  0.7483  0.5000
W  0.5248  0.5248  0.0000

## Properties
* SG: Imm2 (44)
* formation enthalpy at 0 K: 0.5508 eV per atom

=====

## La2AsRh (PBE-GGA)

Data for a relaxed La2AsRh crystal.

a = 3.6995 Å, b = 3.7018 Å, c = 7.2192 Å
α = 90.00°, β = 90.78°, γ = 90.00°
Atoms (fractional coordinates):
La  0.0132  0.0000  0.2519
La  0.9868  0.0000  0.7481
As  0.5000  0.5000  0.0000
Rh  0.5000  0.5000  0.5000

## Properties
* SG: P2/m (10)
* formation enthalpy at 0 K: -0.9002 eV per atom

=====

## NiSb2TeI (PBE-GGA)

Data for a relaxed NiSb2TeI crystal.

a = 5.1664 Å, b = 5.1664 Å, c = 5.0622 Å
α = 90.00°, β = 90.00°, γ = 90.00°
Atoms (fractional coordinates):
Ni  0.0000  0.0000  0.0000
Sb  0.0000  0.5000  0.0000
Sb  0.5000  0.0000  0.0000
Te  0.0000  0.0000  0.5000
I  0.5000  0.5000  0.5000

## Properties
* relative energy among the computed polymorphs: 4 meV/atom
* formation energy without anion corrections: 0.306 eV/atom
* SG: P4/mmm (123)

=====

## Sr3Ta (PBE-GGA)

Data for a relaxed Sr3Ta crystal.

a = 6.1074 Å, b = 7.5402 Å, c = 6.6282 Å
α = 90.00°, β = 90.00°, γ = 90.00°
Atoms (fractional coordinates):
Sr  0.2500  0.0022  0.1678
Sr  0.2500  0.4978  0.1678
Sr  0.2500  0.7500  0.6314
Sr  0.7500  0.2500  0.3686
Sr  0.7500  0.5022  0.8322
Sr  0.7500  0.9978  0.8322
Ta  0.2500  0.2500  0.6736
Ta  0.7500  0.7500  0.3264

## Properties
* relative energy among the computed polymorphs: 389 meV/atom
* SG: Pmmn (59)
* formation enthalpy at 0 K: 0.8692 eV per atom

=====

## Zr2In4Ga (PBE-GGA)

Data for a relaxed Zr2In4Ga crystal.

a = 6.1401 Å, b = 6.1339 Å, c = 6.1210 Å
α = 60.14°, β = 60.04°, γ = 59.83°
Atoms (fractional coordinates):
Zr  0.0000  0.5000  0.5000
Zr  0.5000  0.0000  0.0000
In  0.0000  0.0000  0.5000
In  0.0000  0.5000  0.0000
In  0.5000  0.0000  0.5000
In  0.5000  0.5000  0.0000
Ga  0.0000  0.0000  0.0000

## Properties
* SG: Fmmm (69)
* formation enthalpy at 0 K: -0.1494 eV per atom

=====

## BaTa2Ru (PBE-GGA)

Data for a relaxed BaTa2Ru crystal.

a = 5.7297 Å, b = 5.7297 Å, c = 3.0219 Å
α = 99.28°, β = 99.28°, γ = 119.93°
Atoms (fractional coordinates):
Ba  0.0000  0.0000  0.0000
Ta  0.0000  0.5000  0.5000
Ta  0.5000  0.0000  0.5000
Ru  0.5000  0.5000  0.0000

## Properties
* relative energy among the computed polymorphs: 704 meV/atom
* SG: C2/m (12)
* formation enthalpy at 0 K: 1.0579 eV per atom

=====

## InGa2Br4 (PBE-GGA)

Data for a relaxed InGa2Br4 crystal.

a = 8.5334 Å, b = 8.5334 Å, c = 8.5334 Å
α = 140.56°, β = 140.56°, γ = 57.00°
Atoms (fractional coordinates):
In  0.0000  0.0000  0.0000
Ga  0.3705  0.3705  0.0000
Ga  0.6295  0.6295  0.0000
Br  0.0000  0.5000  0.5000
Br  0.1914  0.1914  0.0000
Br  0.5000  0.0000  0.5000
Br  0.8086  0.8086  0.0000

## Properties
* formation energy without anion corrections: -0.536 eV/atom
* SG: I4/mmm (139)

=====

## K3ErU2S6 (PBE-GGA)

Data for a relaxed K3ErU2S6 crystal.

a = 6.9916 Å, b = 6.9916 Å, c = 7.7711 Å
α = 98.62°, β = 98.62°, γ = 120.00°
Atoms (fractional coordinates):
K  0.0000  0.0000  0.0000
K  0.3335  0.6665  0.0000
K  0.6665  0.3335  0.0000
Er  0.5000  0.5000  0.5000
U  0.1667  0.8333  0.5000
U  0.8333  0.1667  0.5000
S  0.1013  0.4323  0.2969
S  0.2366  0.2366  0.7030
S  0.4323  0.1013  0.2969
S  0.5677  0.8987  0.7031
S  0.7634  0.7634  0.2970
S  0.8987  0.5677  0.7031

## Properties
* formation energy without anion corrections: -1.537 eV/atom
* SG: C2/m (12)

=====

## ZrTaPt2 (PBE-GGA)

Data for a relaxed ZrTaPt2 crystal.

a = 2.8822 Å, b = 4.1200 Å, c = 5.8276 Å
α = 90.00°, β = 90.13°, γ = 90.00°
Atoms (fractional coordinates):
Zr  0.0000  0.0000  0.0000
Ta  0.0000  0.0000  0.5000
Pt  0.4995  0.5000  0.2592
Pt  0.5005  0.5000  0.7408

## Properties
* SG: P2/m (10)
* formation enthalpy at 0 K: -0.7364 eV per atom